Pa2Ni5Sn: optimized geometry, GGA-PBE.

Total energy = -53.799 eV/f.u.
Formation enthalpy at 0 K = -1.90 eV per formula unit
Volume = 264 Å³/cell
Theoretical density = 10.99 g cm⁻³

Cell lengths 6.072, 6.072, 7.164 Å; angles 90.00, 90.00, 90.00 degrees
Space group I4mm (No. 107)
Asymmetric unit:
Pa1 0.000 0.500 0.000
Ni1 0.000 0.000 0.483
Ni2 0.202 0.202 0.235
Sn1 0.000 0.000 0.838